(1)
# RbSF3

Crystalline RbSF3 at its relaxed geometry (PBE, the Alexandria database).

- Formation energy without anion corrections: -2.237 eV per formula unit

Cell: 5.019 5.019 5.019 Å, 90.00 90.00 90.00°
Last column: magnetic moment on the atom in μB.
Fractional positions:
F1 0.000 0.000 0.500  -0.36
F2 0.000 0.500 0.000  -0.14
F3 0.500 0.000 0.000  0.05
S1 0.500 0.500 0.500  1.64
Rb1 0.000 0.000 0.000  -0.12

(2)
# Rb4SF2

Crystalline Rb4SF2 at its relaxed geometry (PBE, the Alexandria database).

- Formation energy without anion corrections: -11.380 eV per formula unit

Cell: 6.244 6.244 9.065 Å, 69.85 69.85 90.00°
Fractional positions:
F1 0.641 0.641 0.718
F2 0.359 0.359 0.282
Rb1 0.500 0.000 0.000
Rb2 0.199 0.199 0.603
Rb3 0.000 0.500 0.000
Rb4 0.801 0.801 0.397
S1 0.000 0.000 0.000

(3)
# RbSF2

Crystalline RbSF2 at its relaxed geometry (PBE, the Alexandria database).

- Formation energy without anion corrections: -4.429 eV per formula unit

Cell: 4.931 4.931 7.920 Å, 71.86 71.86 90.00°
Fractional positions:
F1 0.375 0.513 0.750
F2 0.487 0.125 0.250
F3 0.263 0.625 0.250
F4 0.875 0.737 0.750
Rb1 0.000 0.000 0.000
Rb2 0.750 0.250 0.500
S1 0.250 0.750 0.500
S2 0.500 0.500 0.000

Values of ΔE to the lowest computed polymorph, in order: 5.96 1.93 1.61, all in eV/f.u..
Values of total DFT energy (no corrections), in order: -2.59 -3.30 -3.32, all in eV per atom.
Values of volume, in order: 126.42 308.63 172.87, all in Å³ per cell.